Here is an optimized crystal structure of UBeCrO6 from the Alexandria database. Energies are from GGA+U.

Unit cell a=5.0208 b=5.0208 c=8.6781 alpha=90.00 beta=90.00 gamma=120.00
With the nearest neighbours (Å) after each atom.
Positions (direct):
O 0.0318 0.3440 0.6303  1 Be 1.88, 1 Cr 2.00, 1 U 2.08
O 0.9682 0.6560 0.3697  1 Be 1.88, 1 Cr 2.00, 1 U 2.08
O 0.3123 0.9682 0.6303  1 Be 1.88, 1 Cr 2.00, 1 U 2.08
O 0.3123 0.3440 0.8697  1 Be 1.88, 1 Cr 2.00, 1 U 2.08
O 0.6877 0.6560 0.1303  1 Be 1.88, 1 Cr 2.00, 1 U 2.08
O 0.6877 0.0318 0.3697  1 Be 1.88, 1 Cr 2.00, 1 U 2.08
O 0.6560 0.9682 0.8697  1 Be 1.88, 1 Cr 2.00, 1 U 2.08
O 0.0318 0.6877 0.8697  1 Be 1.88, 1 Cr 2.00, 1 U 2.08
O 0.9682 0.3123 0.1303  1 Be 1.88, 1 Cr 2.00, 1 U 2.08
O 0.6560 0.6877 0.6303  1 Be 1.88, 1 Cr 2.00, 1 U 2.08
O 0.3440 0.3123 0.3697  1 Be 1.88, 1 Cr 2.00, 1 U 2.08
O 0.3440 0.0318 0.1303  1 Be 1.88, 1 Cr 2.00, 1 U 2.08
U 0.6667 0.3333 0.7500  6 O 2.08
U 0.3333 0.6667 0.2500  6 O 2.08
Be 0.3333 0.6667 0.7500  6 O 1.88
Be 0.6667 0.3333 0.2500  6 O 1.88
Cr 0.0000 0.0000 0.5000  6 O 2.00
Cr 0.0000 0.0000 0.0000  6 O 2.00

Results
spin magnetization	0.22	μB/atom
volume	10.5	A^3/atom
electronic total energy	-144.43	eV for the cell shown